Material: Pm2Pr2NdEr
Method: DFT, PBE
State: optimized geometry

Results
space-group type	No. 51
E_form	0.057	eV per atom
volume	411.5	Å³/cell

Lattice parameters (Å, degrees): 7.112 5.777 10.017 90.00 90.00 90.00
Atoms (fractional coordinates):
Pm  0.250  0.000  0.164
Pm  0.250  0.500  0.668
Pm  0.750  0.000  0.836
Pm  0.750  0.500  0.332
Pr  0.000  0.500  0.000
Pr  0.250  0.000  0.828
Pr  0.500  0.500  0.000
Pr  0.750  0.000  0.172
Nd  0.000  0.000  0.500
Nd  0.500  0.000  0.500
Er  0.250  0.500  0.337
Er  0.750  0.500  0.663